Computed, not measured: a relaxed structure of Th6TlP2Se3 at the GGA-PBE level of DFT.

Lattice parameters (Å, degrees): 4.2673 8.4711 9.4830 102.38 103.00 90.00
Atoms (fractional coordinates):
Th 0.3272 0.8944 0.6544
Th 0.6702 0.5732 0.3403
Th 0.6728 0.1056 0.3456
Th 0.0098 0.2677 0.0196
Th 0.9902 0.7323 0.9804
Th 0.3298 0.4268 0.6597
Tl 0.5000 0.0000 0.0000
P 0.8300 0.6623 0.6601
P 0.1700 0.3377 0.3399
Se 0.5000 0.5000 0.0000
Se 0.8394 0.1658 0.6789
Se 0.1606 0.8342 0.3211



Computed, not measured: a relaxed structure of Ti2PSe at the GGA-PBE level of DFT.

Lattice parameters (Å, degrees): 3.6043 3.6043 6.3701 73.57 73.57 60.00
Atoms (fractional coordinates):
Ti 0.2652 0.2652 0.2045
Ti 0.7348 0.7348 0.7955
P 0.0000 0.0000 0.0000
Se 0.5000 0.5000 0.5000

Results
**Energy relative to the lowest polymorph listed for this composition**: 19 meV/atom



Computed, not measured: a relaxed structure of TiP3Se at the GGA-PBE level of DFT.

Lattice parameters (Å, degrees): 4.7033 4.7033 4.7033 90.00 90.00 90.00
Atoms (fractional coordinates):
P 0.0000 0.5000 0.0000
P 0.0000 0.0000 0.5000
P 0.5000 0.0000 0.0000
Se 0.5000 0.5000 0.5000
Ti 0.0000 0.0000 0.0000

Results
**Energy relative to the lowest polymorph listed for this composition**: 0 meV/atom



The following density of states at the Fermi level values (in states/eV/cell) correspond, in order, to the records above: 8.907; 2.314; 5.227.
The following formation energy without anion corrections values (in eV/atom) correspond, in order, to the records above: -1.276; -1.098; 0.472.